# MnTeN3

Crystalline MnTeN3 at its relaxed geometry (PBE-GGA, Alexandria via LeMat-Bulk).

## Properties
formation energy (no corrections) = 1.15 eV per atom

The structure in POSCAR format:
```
MnTeN3
1.0
-3.123 -0.978 -1.855
-1.538 -1.193 3.219
-1.425 3.431 0.591
Te Mn N
1 1 3
Direct
0.500 0.500 0.500 Te
0.000 0.000 0.000 Mn
0.000 0.500 0.000 N
0.000 0.000 0.500 N
0.500 0.000 0.000 N
```

# MnTe3N

Crystalline MnTe3N at its relaxed geometry (PBE-GGA, Alexandria via LeMat-Bulk).

## Properties
formation energy (no corrections) = 1.53 eV per atom
relative energy among the computed polymorphs = 309.8 meV/atom

The structure in POSCAR format:
```
MnTe3N
1.0
-4.049 -2.408 -1.378
1.975 -0.789 -4.424
1.949 -4.204 1.620
Te Mn N
3 1 1
Direct
0.000 0.500 0.000 Te
0.000 0.000 0.500 Te
0.500 0.000 0.000 Te
0.000 0.000 0.000 Mn
0.500 0.500 0.500 N
```

# MnTe2N2

Crystalline MnTe2N2 at its relaxed geometry (PBE-GGA, Alexandria via LeMat-Bulk).

## Properties
formation energy (no corrections) = 1.23 eV per atom
relative energy among the computed polymorphs = 211.6 meV/atom

The structure in POSCAR format:
```
MnTe2N2
1.0
-1.700 1.313 3.217
-3.339 0.370 -1.917
-3.931 -4.490 2.080
Te Mn N
2 1 2
Direct
0.349 0.349 0.302 Te
0.651 0.651 0.698 Te
0.000 0.000 0.000 Mn
0.750 0.250 0.500 N
0.250 0.750 0.500 N
```

# MnTe3N

Crystalline MnTe3N at its relaxed geometry (PBE-GGA, Alexandria via LeMat-Bulk).

## Properties
formation energy (no corrections) = 1.22 eV per atom
relative energy among the computed polymorphs = 0.0 meV/atom

The structure in POSCAR format:
```
MnTe3N
1.0
-1.238 2.356 -3.791
-4.173 -2.008 0.115
-1.585 3.446 2.660
Te Mn N
3 1 1
Direct
0.000 0.500 0.000 Te
0.000 0.000 0.500 Te
0.500 0.000 0.000 Te
0.500 0.500 0.500 Mn
0.000 0.000 0.000 N
```

# MnTe2N

Crystalline MnTe2N at its relaxed geometry (PBE-GGA, Alexandria via LeMat-Bulk).

## Properties
formation energy (no corrections) = 0.67 eV per atom

The structure in POSCAR format:
```
MnTe2N
1.0
-5.357 0.402 4.620
-2.270 2.603 6.186
-4.664 4.214 3.270
Te Mn N
2 1 1
Direct
0.903 0.903 0.903 Te
0.097 0.097 0.097 Te
0.500 0.500 0.500 Mn
0.000 0.000 0.000 N
```

# TiMnTe2N

Crystalline TiMnTe2N at its relaxed geometry (PBE-GGA, Alexandria via LeMat-Bulk).

## Properties
formation energy (no corrections) = 0.14 eV per atom

The structure in POSCAR format:
```
TiMnTe2N
1.0
-0.375 -3.918 -3.580
5.262 0.190 -0.759
0.451 -2.358 2.533
N Te Mn Ti
1 2 1 1
Direct
0.000 0.000 0.500 N
0.000 0.500 0.000 Te
0.500 0.000 0.000 Te
0.000 0.000 0.000 Mn
0.500 0.500 0.500 Ti
```

# TiMnTe2N

Crystalline TiMnTe2N at its relaxed geometry (PBE-GGA, Alexandria via LeMat-Bulk).

## Properties
formation energy (no corrections) = 0.13 eV per atom

The structure in POSCAR format:
```
TiMnTe2N
1.0
5.536 0.000 0.000
0.000 5.536 0.000
0.000 0.000 3.731
N Te Mn Ti
1 2 1 1
Direct
0.000 0.000 0.500 N
0.000 0.500 0.000 Te
0.500 0.000 0.000 Te
0.500 0.500 0.500 Mn
0.000 0.000 0.000 Ti
```

# MnVTeN2

Crystalline MnVTeN2 at its relaxed geometry (PBE-GGA, Alexandria via LeMat-Bulk).

## Properties
formation energy (no corrections) = 0.75 eV per atom
relative energy among the computed polymorphs = 337.4 meV/atom

The structure in POSCAR format:
```
MnVTeN2
1.0
3.710 0.000 0.000
0.000 3.710 0.000
0.000 0.000 5.495
N Te Mn V
2 1 1 1
Direct
0.000 0.500 0.000 N
0.500 0.000 0.000 N
0.000 0.000 0.500 Te
0.000 0.000 0.000 Mn
0.500 0.500 0.500 V
```

# MnVTeN2

Crystalline MnVTeN2 at its relaxed geometry (PBE-GGA, Alexandria via LeMat-Bulk).

## Properties
formation energy (no corrections) = 0.42 eV per atom
relative energy among the computed polymorphs = 0.0 meV/atom

The structure in POSCAR format:
```
MnVTeN2
1.0
-1.227 -0.160 -3.611
3.360 -1.457 -1.077
-1.963 -5.188 0.896
N Te Mn V
2 1 1 1
Direct
0.000 0.500 0.000 N
0.500 0.000 0.000 N
0.000 0.000 0.500 Te
0.500 0.500 0.500 Mn
0.000 0.000 0.000 V
```

# MnTe2WN

Crystalline MnTe2WN at its relaxed geometry (PBE-GGA, Alexandria via LeMat-Bulk).

## Properties
formation energy (no corrections) = 0.79 eV per atom
relative energy among the computed polymorphs = 324.5 meV/atom

The structure in POSCAR format:
```
MnTe2WN
1.0
-1.064 1.129 4.982
-5.035 0.629 -1.218
-0.569 -3.326 0.632
Mn Te W N
1 2 1 1
Direct
0.000 0.000 0.000 Mn
0.000 0.500 0.000 Te
0.500 0.000 0.000 Te
0.500 0.500 0.500 W
0.000 0.000 0.500 N
```

# MnTe2WN

Crystalline MnTe2WN at its relaxed geometry (PBE-GGA, Alexandria via LeMat-Bulk).

## Properties
formation energy (no corrections) = 0.46 eV per atom
relative energy among the computed polymorphs = 0.0 meV/atom

The structure in POSCAR format:
```
MnTe2WN
1.0
5.465 0.000 0.000
0.000 5.465 0.000
0.000 0.000 3.816
Mn Te W N
1 2 1 1
Direct
0.500 0.500 0.500 Mn
0.000 0.500 0.000 Te
0.500 0.000 0.000 Te
0.000 0.000 0.000 W
0.000 0.000 0.500 N
```

# YMnTe2N

Crystalline YMnTe2N at its relaxed geometry (PBE-GGA, Alexandria via LeMat-Bulk).

## Properties
formation energy (no corrections) = -0.35 eV per atom
relative energy among the computed polymorphs = 0.0 meV/atom

The structure in POSCAR format:
```
YMnTe2N
1.0
-4.580 2.648 -1.321
-2.957 -4.003 2.228
0.074 1.712 3.174
Y Te Mn N
1 2 1 1
Direct
0.500 0.500 0.500 Y
0.000 0.500 0.000 Te
0.500 0.000 0.000 Te
0.000 0.000 0.000 Mn
0.000 0.000 0.500 N
```

# YMnTe2N

Crystalline YMnTe2N at its relaxed geometry (PBE-GGA, Alexandria via LeMat-Bulk).

## Properties
formation energy (no corrections) = 0.44 eV per atom
relative energy among the computed polymorphs = 789.1 meV/atom

The structure in POSCAR format:
```
YMnTe2N
1.0
-2.493 -2.098 -4.940
3.180 -4.965 0.503
-3.158 -1.784 2.351
Y Te Mn N
1 2 1 1
Direct
0.000 0.000 0.000 Y
0.000 0.500 0.000 Te
0.500 0.000 0.000 Te
0.500 0.500 0.500 Mn
0.000 0.000 0.500 N
```

# MnZnTe2N

Crystalline MnZnTe2N at its relaxed geometry (PBE-GGA, Alexandria via LeMat-Bulk).

## Properties
formation energy (no corrections) = 0.19 eV per atom
relative energy among the computed polymorphs = 0.0 meV/atom

The structure in POSCAR format:
```
MnZnTe2N
1.0
-1.080 -3.605 3.803
-1.185 -3.614 -3.763
3.297 -1.034 -0.045
Zn Te Mn N
1 2 1 1
Direct
0.500 0.500 0.500 Zn
0.000 0.500 0.000 Te
0.500 0.000 0.000 Te
0.000 0.000 0.000 Mn
0.000 0.000 0.500 N
```

# MnZnTe2N

Crystalline MnZnTe2N at its relaxed geometry (PBE-GGA, Alexandria via LeMat-Bulk).

## Properties
formation energy (no corrections) = 0.88 eV per atom
relative energy among the computed polymorphs = 686.3 meV/atom

The structure in POSCAR format:
```
MnZnTe2N
1.0
-4.463 -3.098 1.401
2.242 -4.418 -2.633
1.656 -0.994 3.078
Zn Te Mn N
1 2 1 1
Direct
0.000 0.000 0.000 Zn
0.000 0.500 0.000 Te
0.500 0.000 0.000 Te
0.500 0.500 0.500 Mn
0.000 0.000 0.500 N
```

# ZrMnTeN2

Crystalline ZrMnTeN2 at its relaxed geometry (PBE-GGA, Alexandria via LeMat-Bulk).

## Properties
formation energy (no corrections) = 0.59 eV per atom
relative energy among the computed polymorphs = 162.7 meV/atom

The structure in POSCAR format:
```
ZrMnTeN2
1.0
3.910 0.000 0.000
0.000 3.910 0.000
0.000 0.000 5.069
Mn Te Zr N
1 1 1 2
Direct
0.000 0.000 0.000 Mn
0.000 0.000 0.500 Te
0.500 0.500 0.500 Zr
0.000 0.500 0.000 N
0.500 0.000 0.000 N
```

# ZrMnTeN2

Crystalline ZrMnTeN2 at its relaxed geometry (PBE-GGA, Alexandria via LeMat-Bulk).

## Properties
formation energy (no corrections) = 0.43 eV per atom
relative energy among the computed polymorphs = 0.0 meV/atom

The structure in POSCAR format:
```
ZrMnTeN2
1.0
-0.428 0.246 4.114
-1.691 -3.782 0.050
5.556 -2.474 0.726
Mn Te Zr N
1 1 1 2
Direct
0.500 0.500 0.500 Mn
0.000 0.000 0.500 Te
0.000 0.000 0.000 Zr
0.000 0.500 0.000 N
0.500 0.000 0.000 N
```

# ThMnN

Crystalline ThMnN at its relaxed geometry (PBE-GGA, Alexandria via LeMat-Bulk).

## Properties
formation energy (no corrections) = -0.36 eV per atom

The structure in POSCAR format:
```
ThMnN
1.0
3.265 0.000 0.000
0.000 3.293 0.000
-1.633 0.000 10.055
N Th Mn
2 2 2
Direct
0.420 0.250 0.840 N
0.580 0.750 0.160 N
0.891 0.750 0.782 Th
0.109 0.250 0.218 Th
0.750 0.250 0.500 Mn
0.250 0.750 0.500 Mn
```

# ThMnN2

Crystalline ThMnN2 at its relaxed geometry (PBE-GGA, Alexandria via LeMat-Bulk).

## Properties
formation energy (no corrections) = -0.93 eV per atom

The structure in POSCAR format:
```
ThMnN2
1.0
5.261 0.000 0.000
-2.631 4.556 0.000
0.000 0.000 6.875
Th Mn N
3 3 6
Direct
0.346 0.346 0.000 Th
0.000 0.654 0.667 Th
0.654 0.000 0.333 Th
0.369 0.369 0.500 Mn
0.000 0.631 0.167 Mn
0.631 0.000 0.833 Mn
0.876 0.367 0.958 N
0.491 0.124 0.624 N
0.633 0.509 0.291 N
0.367 0.876 0.042 N
0.124 0.491 0.376 N
0.509 0.633 0.709 N
```

# Th4Mn3N10

Crystalline Th4Mn3N10 at its relaxed geometry (PBE-GGA, Alexandria via LeMat-Bulk).

## Properties
formation energy (no corrections) = -0.93 eV per atom

The structure in POSCAR format:
```
Th4Mn3N10
1.0
-2.715 -1.567 2.154
2.581 -0.783 2.683
-2.359 13.562 3.532
Th Mn N
4 3 10
Direct
0.567 0.567 0.134 Th
0.433 0.433 0.866 Th
0.300 0.300 0.600 Th
0.700 0.700 0.400 Th
0.137 0.137 0.275 Mn
0.863 0.863 0.725 Mn
0.000 0.000 0.000 Mn
0.140 0.640 0.280 N
0.070 0.070 0.139 N
0.640 0.140 0.280 N
0.860 0.360 0.720 N
0.360 0.860 0.720 N
0.930 0.930 0.861 N
0.216 0.216 0.432 N
0.784 0.784 0.568 N
0.000 0.500 0.000 N
0.500 0.000 0.000 N
```